Compound: Ag2H2SI2
Source: Alexandria via LeMat-Bulk
Functional: PBE
Structure: relaxed

a b c (Å): 3.9759 7.7763 6.0645
angles (deg): 69.33 70.86 75.19
With the nearest neighbours (Å) after each atom.
Atoms (fractional coordinates):
Ag 0.5948 0.1344 0.6760  2 S 2.70, 2 I 2.92, 2 H 2.94
Ag 0.4052 0.8656 0.3240  2 S 2.70, 2 I 2.92, 2 H 2.94
H 0.1309 0.8448 0.8934  1 S 1.47
H 0.8691 0.1552 0.1066  1 S 1.47
S 0.0000 0.0000 0.0000  2 H 1.47
I 0.2028 0.2947 0.2997  2 H 2.64, 2 Ag 2.92
I 0.7972 0.7053 0.7003  2 H 2.64, 2 Ag 2.92

**Total magnetization**: 0.000 μB/f.u.
**Final energy**: -18.5 eV/cell
**SG**: C2/m, No. 12

=====

Compound: Cr2AgBi2
Source: Alexandria via LeMat-Bulk
Functional: PBE
Structure: relaxed

a b c (Å): 7.5167 7.5167 3.9280
angles (deg): 90.00 90.00 90.00
With the nearest neighbours (Å) after each atom.
Atoms (fractional coordinates):
Cr 0.3642 0.8642 0.0000  6 Bi 2.85-3.03, 1 Cr 2.89, 2 Ag 2.92
Cr 0.8642 0.6358 0.0000  6 Bi 2.85-3.03, 1 Cr 2.89, 2 Ag 2.92
Cr 0.6358 0.1358 0.0000  6 Bi 2.85-3.03, 1 Cr 2.89, 2 Ag 2.92
Cr 0.1358 0.3642 0.0000  6 Bi 2.85-3.03, 1 Cr 2.89, 2 Ag 2.92
Bi 0.1696 0.6696 0.5000  6 Cr 2.85-3.03
Bi 0.6696 0.8304 0.5000  6 Cr 2.85-3.03
Bi 0.8304 0.3304 0.5000  6 Cr 2.85-3.03
Bi 0.3304 0.1696 0.5000  6 Cr 2.85-3.03
Ag 0.0000 0.0000 0.0000  4 Cr 2.92
Ag 0.5000 0.5000 0.0000  4 Cr 2.92

**Energy of formation**: 0.474 eV/atom
**Total magnetization**: 7.031 μB/f.u.
**Energy above the lowest structure with this stoichiometry**: 0.0 kJ per mole of atoms
**SG**: P4/mbm, No. 127

=====

Q: Which formula does entry 2 have?
A: Cr2AgBi2